# 1
The following is a DFT calculation (PBE-GGA) of a relaxed structure of Ho2USi.

Unit cell a=3.3560 b=3.3560 c=10.3611 alpha=90.00 beta=90.00 gamma=120.00
Space group P3m1 (No. 156)
Symmetry-distinct sites (fractional):
Ho 0.0000 0.0000 0.0000
Ho 0.3333 0.6667 0.4111
U 0.0000 0.0000 0.6890
Si 0.6667 0.3333 0.2037

## Properties
- M_tot (Bohr magnetons per cell) = 2.74
- total energy (eV per atom) = -6.25



# 2
The following is a DFT calculation (PBE-GGA) of a relaxed structure of HoUSi.

Unit cell a=6.801 b=6.801 c=6.801 alpha=90.00 beta=90.00 gamma=90.00
Space group F-43m (No. 216)
Symmetry-distinct sites (fractional):
Ho 0.000 0.000 0.000
U 0.000 0.000 0.500
Si 0.250 0.250 0.250

## Properties
- M_tot (Bohr magnetons per cell) = 11.93
- total energy (eV per atom) = -6.94
- E above lowest polymorph (eV/atom) = 0.000



# 3
The following is a DFT calculation (PBE-GGA) of a relaxed structure of Ho2Si3W2.

Unit cell a=14.842 b=3.816 c=4.808 alpha=90.00 beta=105.49 gamma=90.00
Space group C2/m (No. 12)
Symmetry-distinct sites (fractional):
Ho 0.093 0.000 0.226
Si 0.000 0.500 0.500
Si 0.237 0.500 0.328
W 0.170 0.500 0.786

## Properties
- M_tot (Bohr magnetons per cell) = 0.01
- total energy (eV per atom) = -7.51



# 4
The following is a DFT calculation (PBE-GGA) of a relaxed structure of HoSiW.

Unit cell a=6.605 b=6.605 c=6.605 alpha=90.00 beta=90.00 gamma=90.00
Space group F-43m (No. 216)
Symmetry-distinct sites (fractional):
Ho 0.000 0.000 0.000
Si 0.250 0.250 0.750
W 0.250 0.250 0.250

## Properties
- M_tot (Bohr magnetons per cell) = 10.89
- total energy (eV per atom) = -6.26



# 5
The following is a DFT calculation (PBE-GGA) of a relaxed structure of HoSiW.

Unit cell a=6.270 b=6.270 c=6.270 alpha=90.00 beta=90.00 gamma=90.00
Space group F-43m (No. 216)
Symmetry-distinct sites (fractional):
Ho 0.000 0.000 0.000
Si 0.250 0.250 0.250
W 0.000 0.000 0.500

## Properties
- M_tot (Bohr magnetons per cell) = 1.53
- total energy (eV per atom) = -7.43



# 6
The following is a DFT calculation (PBE-GGA) of a relaxed structure of YHoSi.

Unit cell a=6.834 b=6.834 c=6.834 alpha=90.00 beta=90.00 gamma=90.00
Space group F-43m (No. 216)
Symmetry-distinct sites (fractional):
Y 0.000 0.000 0.000
Ho 0.000 0.000 0.500
Si 0.250 0.250 0.750

## Properties
- M_tot (Bohr magnetons per cell) = 0.05
- total energy (eV per atom) = -5.97



# 7
The following is a DFT calculation (PBE-GGA) of a relaxed structure of YHo2Zn4Si4.

Unit cell a=4.007 b=4.087 c=24.570 alpha=90.00 beta=90.00 gamma=90.00
Space group Immm (No. 71)
Symmetry-distinct sites (fractional):
Y 0.000 0.000 0.000
Ho 0.000 0.500 0.143
Zn 0.000 0.000 0.250
Zn 0.000 0.500 0.406
Si 0.000 0.000 0.453
Si 0.000 0.500 0.311

## Properties
- M_tot (Bohr magnetons per cell) = 0.02
- total energy (eV per atom) = -4.38



# 8
The following is a DFT calculation (PBE-GGA) of a relaxed structure of HoZr3Si4.

Unit cell a=5.414 b=3.794 c=7.231 alpha=90.00 beta=90.67 gamma=90.00
Space group Pm (No. 6)
Symmetry-distinct sites (fractional):
Ho 0.000 0.000 0.000
Zr 0.255 0.000 0.501
Zr 0.498 0.500 0.149
Zr 0.750 0.500 0.642
Si 0.011 0.500 0.291
Si 0.242 0.500 0.776
Si 0.511 0.000 0.861
Si 0.735 0.000 0.368

## Properties
- M_tot (Bohr magnetons per cell) = 0.00
- total energy (eV per atom) = -7.37



# 9
The following is a DFT calculation (PBE-GGA) of a relaxed structure of HoZrSi.

Unit cell a=6.578 b=6.578 c=6.578 alpha=90.00 beta=90.00 gamma=90.00
Space group F-43m (No. 216)
Symmetry-distinct sites (fractional):
Ho 0.000 0.000 0.000
Zr 0.000 0.000 0.500
Si 0.250 0.250 0.250

## Properties
- M_tot (Bohr magnetons per cell) = 0.07
- total energy (eV per atom) = -6.54



# 10
The following is a DFT calculation (PBE-GGA) of a relaxed structure of SmHo.

Unit cell a=3.6261 b=3.6261 c=5.7139 alpha=90.00 beta=90.00 gamma=120.00
Space group P-6m2 (No. 187)
Symmetry-distinct sites (fractional):
Sm 0.0000 0.0000 0.0000
Ho 0.3333 0.6667 0.5000

## Properties
- M_tot (Bohr magnetons per cell) = 0.06
- formation enthalpy at 0 K (kJ per mole of atoms) = 1.9
- total energy (eV per atom) = -4.62
- E above lowest polymorph (eV/atom) = 0.000



# 11
The following is a DFT calculation (PBE-GGA) of a relaxed structure of SmHo.

Unit cell a=6.964 b=6.964 c=6.964 alpha=90.00 beta=90.00 gamma=90.00
Space group F-43m (No. 216)
Symmetry-distinct sites (fractional):
Sm 0.000 0.000 0.000
Ho 0.250 0.250 0.250

## Properties
- M_tot (Bohr magnetons per cell) = 0.06
- formation enthalpy at 0 K (kJ per mole of atoms) = 175.7
- total energy (eV per atom) = -2.82
- E above lowest polymorph (eV/atom) = 1.801



# 12
The following is a DFT calculation (PBE-GGA) of a relaxed structure of SmHo2.

Unit cell a=6.197 b=3.578 c=8.817 alpha=90.00 beta=103.63 gamma=90.00
Space group C2/m (No. 12)
Symmetry-distinct sites (fractional):
Sm 0.000 0.000 0.000
Ho 0.221 0.000 0.664

## Properties
- M_tot (Bohr magnetons per cell) = 0.03
- formation enthalpy at 0 K (kJ per mole of atoms) = -0.7
- total energy (eV per atom) = -4.63
- E above lowest polymorph (eV/atom) = 0.000